## BaCrRe2 (PBE)

Data for crystalline BaCrRe2 at its relaxed geometry.

```
BaCrRe2
1.0
-0.860 -0.281 3.002
0.017 -3.123 -0.288
7.710 -0.161 2.195
Re Cr Ba
2 1 1
Cartesian
4.557 -0.095 1.297
7.009 -0.147 1.995
5.361 -1.823 3.003
1.506 -1.742 1.906
```

Total energy (eV/atom): -8.32
DOS(E_F) (states/eV per cell): 3.27
Excess energy over the best structure of this formula in the dataset (meV per atom): 0
ΔH_f (0 K) (eV per atom): 0.7877